## LiPr2NiPt2 (PBE)

Data for a geometry-optimized LiPr2NiPt2 structure.

```
12
Lattice="-2.983 6.982 2.966 2.983 -6.982 2.966 2.983 6.982 -2.966" Properties=species:S:1:pos:R:3 pbc="T T T"
Li 0.000 0.000 1.483
Li 0.000 0.000 4.449
Pr 4.448 2.271 0.000
Pr 1.465 4.711 0.000
Pr 1.519 2.271 2.966
Pr -1.465 4.711 2.966
Ni 2.983 0.000 1.483
Ni 0.000 6.982 1.483
Pt 1.483 1.632 0.000
Pt 1.483 -1.632 2.966
Pt 1.501 8.614 0.000
Pt 1.501 5.350 2.966
```

---

5
Lattice="4.132 0.000 0.000 0.000 4.132 0.000 0.000 0.000 6.037" Properties=species:S:1:pos:R:3 comment="PBE InTeRuN2, optimized geometry" relative_energy_ev_per_atom=1.0701 formation_energy_uncorrected_ev_per_atom=1.90 pbc="T T T"
In 0.000 0.000 0.000
Te 0.000 0.000 3.018
Ru 2.066 2.066 3.018
N 0.000 2.066 0.000
N 2.066 0.000 0.000

---

4
Lattice="3.482 0.000 0.000 0.000 3.540 0.000 0.000 0.000 5.828" Properties=species:S:1:pos:R:3 comment="PBE MgSbPt2, optimized geometry" formation_energy_uncorrected_ev_per_atom=-0.49 pbc="T T T"
Mg 0.000 0.000 0.000
Sb 0.000 0.000 2.914
Pt 1.741 1.770 1.414
Pt 1.741 1.770 4.414

---

8
Lattice="-3.676 3.676 2.761 3.676 -3.676 2.761 3.676 3.676 -2.761" Properties=species:S:1:pos:R:3 comment="PBE Ti2HgIr, optimized geometry" relative_energy_ev_per_atom=0.4187 pbc="T T T"
Ti 5.514 1.506 -0.690
Ti 1.506 1.838 0.690
Ti -1.838 2.170 2.071
Ti 2.170 1.838 3.451
Hg 3.676 0.000 1.380
Hg 0.000 0.000 2.761
Ir 0.000 0.000 0.000
Ir 0.000 3.676 1.380

---

15
Lattice="4.911 2.835 6.494 -4.911 2.835 6.494 0.000 -5.671 6.494" Properties=species:S:1:pos:R:3 comment="PBE La8Nd6Sm, optimized geometry" relative_energy_ev_per_atom=0.0150 pbc="T T T"
La 0.000 0.000 1.508
La -0.589 -2.096 6.502
La -1.521 1.558 6.502
La -2.109 -0.538 12.980
La 2.109 0.538 6.502
La 1.521 -1.558 12.980
La 0.589 2.096 12.980
La 0.000 0.000 17.974
Nd -2.547 -2.451 9.424
Nd -3.396 0.981 10.059
Nd 0.849 -3.431 10.059
Nd -0.849 3.431 9.424
Nd 3.396 -0.981 9.424
Nd 2.547 2.451 10.059
Sm 0.000 0.000 9.741

---

10
Lattice="6.953 -3.118 0.000 6.953 3.118 0.000 -3.189 0.000 8.138" Properties=species:S:1:pos:R:3 comment="PBE Pm2Te2Br, optimized geometry" relative_energy_ev_per_atom=0.0065 formation_energy_uncorrected_ev_per_atom=-1.53 pbc="T T T"
Pm -0.757 0.000 1.970
Pm 1.765 0.000 7.481
Pm 8.952 0.000 0.657
Pm 11.474 0.000 6.168
Te 2.159 0.000 0.878
Te 4.500 0.000 5.937
Te 6.217 0.000 2.201
Te 8.558 0.000 7.260
Br 0.248 0.000 4.838
Br 10.469 0.000 3.300

---

4
Lattice="4.548 0.000 0.000 0.000 2.165 7.421 0.000 -2.165 7.421" Properties=species:S:1:pos:R:3 comment="PBE Tl2TeBr, optimized geometry" relative_energy_ev_per_atom=0.0231 formation_energy_uncorrected_ev_per_atom=-0.46 pbc="T T T"
Tl 0.000 0.000 0.000
Tl 2.274 0.000 3.459
Te 2.274 0.000 7.840
Br 0.000 0.000 11.848

---

4
Lattice="4.640 -1.980 0.000 4.640 1.980 0.000 -1.491 0.000 5.395" Properties=species:S:1:pos:R:3 comment="PBE LiCdSb2, optimized geometry" formation_energy_uncorrected_ev_per_atom=-0.15 pbc="T T T"
Li 0.000 0.000 0.000
Cd 3.895 0.000 2.698
Sb 1.116 0.000 4.259
Sb 6.673 0.000 1.136

---

| no. | density of states at the Fermi level (states/eV/atom) | energy (eV per atom) |
| --- | --- | --- |
| 1 | 0.385 | -5.6434 |
| 2 | 1.410 | -4.4636 |
| 3 | 0.407 | -4.9425 |
| 4 | 1.378 | -6.2469 |
| 5 | 1.780 | -4.7213 |
| 6 | 0.367 | -5.0190 |
| 7 | 0.045 | -2.8466 |
| 8 | 0.251 | -2.9179 |